(1)
Entry from Alexandria via LeMat-Bulk: a geometry-optimized TlIn4Hg4 structure (PBE).

Cell and atoms, written as CIF:
```
data_TlIn4Hg4
_cell_length_a 6.6772
_cell_length_b 6.6772
_cell_length_c 11.6707
_cell_angle_alpha 90.00
_cell_angle_beta 90.00
_cell_angle_gamma 90.00
_symmetry_space_group_name_H-M 'P 42/n m c'
_symmetry_Int_Tables_number 137
loop_
_symmetry_equiv_pos_as_xyz
'x,y,z'
'-x,-y,-z'
'-y+1/2,x,z+1/2'
'y+1/2,-x,-z+1/2'
'-x+1/2,-y+1/2,z'
'x+1/2,y+1/2,-z'
'y,-x+1/2,z+1/2'
'-y,x+1/2,-z+1/2'
'x+1/2,-y,-z'
'-x+1/2,y,z'
'-y,-x,-z+1/2'
'y,x,z+1/2'
'-x,y+1/2,-z'
'x,-y+1/2,z'
'y+1/2,x+1/2,-z+1/2'
'-y+1/2,-x+1/2,z+1/2'
loop_
_atom_site_label
_atom_site_fract_x
_atom_site_fract_y
_atom_site_fract_z
Tl1 0.2500 0.7500 0.2500
In1 0.0316 0.2500 0.1813
Hg1 0.0102 0.2500 0.4725
```

Results
- Energy of formation from the pure elements: 58 meV per atom
- Final energy: -28.0 eV for the cell shown



(2)
Entry from Alexandria via LeMat-Bulk: a geometry-optimized Pr2TlGe structure (PBE).

Cell and atoms, written as CIF:
```
data_Pr2TlGe
_cell_length_a 4.3359
_cell_length_b 4.3359
_cell_length_c 23.5719
_cell_angle_alpha 90.00
_cell_angle_beta 90.00
_cell_angle_gamma 120.00
_symmetry_space_group_name_H-M 'R -3 m'
_symmetry_Int_Tables_number 166
_symmetry_space_group_name_Hall '-R 3 2"'
loop_
_atom_site_label
_atom_site_fract_x
_atom_site_fract_y
_atom_site_fract_z
Pr1 0.0000 0.0000 0.2364
Tl1 0.0000 0.0000 0.0000
Ge1 0.0000 0.0000 0.5000
```

Results
- Energy of formation from the pure elements: -499 meV per atom
- Final energy: -55.6 eV for the cell shown



- energy of formation from the pure elements of number 2 (Pr2TlGe)?
  -499 meV per atom